[1]
ThPaFeN4: relaxed, PBE-GGA.

Lattice parameters (Å, degrees): 3.719 3.719 6.827 105.80 105.80 90.00
Each line ends with the local moment (μB).
Atoms (fractional coordinates):
1 N 0.191 0.191 0.383  0.00
2 N 0.497 0.997 0.994  0.05
3 N 0.997 0.497 0.994  0.05
4 N 0.828 0.828 0.657  -0.02
5 Fe 0.981 0.981 0.961  1.16
6 Th 0.642 0.642 0.284  0.03
7 Pa 0.364 0.364 0.728  0.01

## Properties
**Total energy**: -9.5308 eV per atom
**Fermi-level density of states**: 3.34 states/eV/f.u.
**Total magnetic moment**: 1.3 μB per formula unit

[2]
TmPa2FeN5: relaxed, PBE-GGA.

Lattice parameters (Å, degrees): 3.333 6.867 10.137 90.00 90.00 104.05
Each line ends with the local moment (μB).
Atoms (fractional coordinates):
1 Tm 0.199 0.399 0.004  -0.01
2 Tm 0.801 0.601 0.504  -0.01
3 Fe 0.484 0.968 0.463  1.46
4 Fe 0.516 0.032 0.963  1.46
5 Pa 0.861 0.721 0.802  0.01
6 Pa 0.108 0.215 0.686  -0.03
7 Pa 0.139 0.279 0.302  0.01
8 Pa 0.892 0.785 0.186  -0.03
9 N 0.668 0.336 0.855  0.00
10 N 0.518 0.037 0.279  0.01
11 N 0.482 0.963 0.779  0.01
12 N 0.370 0.740 0.999  0.00
13 N 0.630 0.260 0.499  0.00
14 N 0.038 0.075 0.062  0.05
15 N 0.718 0.436 0.174  0.01
16 N 0.282 0.564 0.674  0.01
17 N 0.962 0.925 0.562  0.05
18 N 0.332 0.664 0.355  0.00

## Properties
**Total energy**: -9.3603 eV per atom
**Fermi-level density of states**: 4.11 states/eV/f.u.
**Total magnetic moment**: 1.5 μB per formula unit

[3]
TmPaFeN4: relaxed, PBE-GGA.

Lattice parameters (Å, degrees): 3.688 3.688 6.501 106.48 106.48 90.00
Each line ends with the local moment (μB).
Atoms (fractional coordinates):
1 N 0.177 0.177 0.354  -0.02
2 N 0.996 0.496 0.992  0.13
3 N 0.826 0.826 0.653  0.02
4 N 0.496 0.996 0.992  0.13
5 Tm 0.640 0.640 0.280  0.05
6 Fe 0.006 0.006 0.011  1.58
7 Pa 0.358 0.358 0.717  0.07

## Properties
**Total energy**: -8.9857 eV per atom
**Fermi-level density of states**: 3.39 states/eV/f.u.
**Total magnetic moment**: 2.1 μB per formula unit

[4]
UPaFeN4: relaxed, PBE-GGA.

Lattice parameters (Å, degrees): 3.660 3.660 6.620 106.05 106.05 90.00
Each line ends with the local moment (μB).
Atoms (fractional coordinates):
1 N 0.498 0.998 0.996  -0.03
2 N 0.998 0.498 0.996  -0.03
3 N 0.178 0.178 0.357  -0.03
4 N 0.809 0.809 0.618  -0.02
5 Pa 0.357 0.357 0.715  0.09
6 Fe 0.025 0.025 0.051  -0.27
7 U 0.633 0.633 0.267  0.83

## Properties
**Total energy**: -9.9880 eV per atom
**Fermi-level density of states**: 4.75 states/eV/f.u.
**Total magnetic moment**: 0.6 μB per formula unit

[5]
UPa2FeN5: relaxed, PBE-GGA.

Lattice parameters (Å, degrees): 5.465 6.480 6.480 90.00 90.00 90.00
Each line ends with the local moment (μB).
Atoms (fractional coordinates):
1 U 0.000 0.500 0.500  1.91
2 U 0.000 0.000 0.000  1.91
3 Fe 0.000 0.000 0.500  0.83
4 Fe 0.000 0.500 0.000  0.83
5 N 0.770 0.154 0.654  -0.01
6 N 0.770 0.846 0.346  -0.01
7 N 0.230 0.154 0.654  -0.01
8 N 0.230 0.846 0.346  -0.01
9 N 0.500 0.500 0.500  -0.01
10 N 0.230 0.346 0.154  -0.01
11 N 0.500 0.000 0.000  -0.01
12 N 0.770 0.654 0.846  -0.01
13 N 0.230 0.654 0.846  -0.01
14 N 0.770 0.346 0.154  -0.01
15 Pa 0.500 0.333 0.833  -0.01
16 Pa 0.500 0.833 0.667  -0.01
17 Pa 0.500 0.167 0.333  -0.01
18 Pa 0.500 0.667 0.167  -0.01

## Properties
**Total energy**: -10.0291 eV per atom
**Fermi-level density of states**: 12.47 states/eV/f.u.
**Total magnetic moment**: 2.8 μB per formula unit

[6]
Pa2FeWN5: relaxed, PBE-GGA.

Lattice parameters (Å, degrees): 3.234 6.639 10.055 90.00 90.00 104.10
Atoms (fractional coordinates):
1 N 0.366 0.733 0.999
2 N 0.634 0.267 0.499
3 N 0.512 0.025 0.273
4 N 0.322 0.645 0.371
5 N 0.284 0.568 0.657
6 N 0.716 0.432 0.157
7 N 0.678 0.355 0.871
8 N 0.951 0.901 0.563
9 N 0.049 0.099 0.063
10 N 0.488 0.975 0.773
11 Pa 0.856 0.713 0.812
12 Pa 0.105 0.209 0.682
13 Pa 0.895 0.791 0.182
14 Pa 0.144 0.287 0.312
15 Fe 0.465 0.931 0.453
16 Fe 0.535 0.069 0.953
17 W 0.804 0.608 0.514
18 W 0.196 0.392 0.014

## Properties
**Total energy**: -10.0836 eV per atom
**Fermi-level density of states**: 6.15 states/eV/f.u.
**Total magnetic moment**: 0.0 μB per formula unit

[7]
Pa2FeWN6: relaxed, PBE-GGA.

Lattice parameters (Å, degrees): 4.842 5.274 5.274 90.00 90.00 90.00
Each line ends with the local moment (μB).
Atoms (fractional coordinates):
1 N 0.731 0.247 0.753  0.02
2 N 0.731 0.753 0.753  0.02
3 N 0.201 0.000 0.000  0.03
4 N 0.186 0.500 0.500  0.13
5 N 0.731 0.753 0.247  0.02
6 N 0.731 0.247 0.247  0.02
7 Fe 0.568 0.500 0.500  3.05
8 Pa 0.992 0.000 0.500  0.17
9 Pa 0.992 0.500 0.000  0.17
10 W 0.585 0.000 0.000  0.05

## Properties
**Total energy**: -9.7796 eV per atom
**Fermi-level density of states**: 4.74 states/eV/f.u.
**Total magnetic moment**: 4.0 μB per formula unit

[8]
ZrPa2FeN5: relaxed, PBE-GGA.

Lattice parameters (Å, degrees): 3.289 6.730 10.199 90.00 90.00 104.14
Atoms (fractional coordinates):
1 N 0.515 0.029 0.278
2 N 0.043 0.086 0.069
3 N 0.957 0.914 0.569
4 N 0.327 0.653 0.363
5 N 0.631 0.262 0.496
6 N 0.673 0.347 0.863
7 N 0.485 0.971 0.778
8 N 0.282 0.563 0.666
9 N 0.718 0.437 0.166
10 N 0.369 0.738 0.996
11 Fe 0.523 0.047 0.957
12 Fe 0.477 0.953 0.457
13 Pa 0.106 0.212 0.682
14 Pa 0.858 0.716 0.806
15 Pa 0.142 0.284 0.306
16 Pa 0.894 0.788 0.182
17 Zr 0.196 0.393 0.006
18 Zr 0.804 0.607 0.506

## Properties
**Total energy**: -9.8676 eV per atom
**Fermi-level density of states**: 3.64 states/eV/f.u.
**Total magnetic moment**: 0.0 μB per formula unit

[9]
FePbN2: relaxed, PBE-GGA.

Lattice parameters (Å, degrees): 6.739 6.739 6.739 26.10 26.10 26.10
Atoms (fractional coordinates):
1 Pb 0.000 0.000 0.000
2 N 0.879 0.879 0.879
3 N 0.121 0.121 0.121
4 Fe 0.500 0.500 0.500

## Properties
**Total energy**: -6.4999 eV per atom
**Fermi-level density of states**: 3.78 states/eV/f.u.
**Total magnetic moment**: 0.0 μB per formula unit

[10]
Fe2Pb3N4: relaxed, PBE-GGA.

Lattice parameters (Å, degrees): 8.708 8.708 5.350 73.04 73.04 54.61
Atoms (fractional coordinates):
1 Fe 0.608 0.842 0.600
2 Fe 0.392 0.158 0.400
3 Fe 0.158 0.392 0.900
4 Fe 0.842 0.608 0.100
5 N 0.638 0.046 0.439
6 N 0.046 0.638 0.939
7 N 0.227 0.360 0.560
8 N 0.640 0.773 0.940
9 N 0.954 0.362 0.061
10 N 0.773 0.640 0.440
11 N 0.360 0.227 0.060
12 N 0.362 0.954 0.561
13 Pb 0.056 0.693 0.369
14 Pb 0.693 0.056 0.869
15 Pb 0.307 0.944 0.131
16 Pb 0.371 0.629 0.750
17 Pb 0.944 0.307 0.631
18 Pb 0.629 0.371 0.250

## Properties
**Total energy**: -6.4906 eV per atom
**Fermi-level density of states**: 5.20 states/eV/f.u.
**Total magnetic moment**: 0.0 μB per formula unit

[11]
FePbN3: relaxed, PBE-GGA.

Lattice parameters (Å, degrees): 4.198 4.198 4.198 90.00 90.00 90.00
Each line ends with the local moment (μB).
Atoms (fractional coordinates):
1 N 0.000 0.500 0.000  0.32
2 N 0.500 0.000 0.000  0.24
3 N 0.000 0.000 0.500  0.24
4 Pb 0.000 0.000 0.000  0.00
5 Fe 0.500 0.500 0.500  0.00

## Properties
**Total energy**: -4.5242 eV per atom
**Fermi-level density of states**: 10.32 states/eV/f.u.
**Total magnetic moment**: 1.1 μB per formula unit

[12]
Fe2PbN: relaxed, PBE-GGA.

Lattice parameters (Å, degrees): 5.281 5.281 5.745 62.64 62.64 90.00
Each line ends with the local moment (μB).
Atoms (fractional coordinates):
1 Fe 0.375 0.524 0.750  0.54
2 Fe 0.476 0.125 0.250  0.59
3 Fe 0.875 0.726 0.750  0.62
4 Fe 0.274 0.625 0.250  0.58
5 Pb 0.750 0.250 0.500  -0.03
6 Pb 0.000 0.000 0.000  -0.03
7 N 0.500 0.500 0.000  -0.04
8 N 0.250 0.750 0.500  -0.05

## Properties
**Energy relative to the lowest polymorph listed for this composition**: 0.0 kJ per mole of atoms
**Fermi-level density of states**: 3.53 states/eV/f.u.
**Total magnetic moment**: 1.1 μB per formula unit

[13]
FePbN2: relaxed, PBE-GGA.

Lattice parameters (Å, degrees): 5.396 5.396 5.486 60.54 60.54 90.00
Atoms (fractional coordinates):
1 Fe 0.500 0.500 0.000
2 Fe 0.250 0.750 0.500
3 Pb 0.750 0.250 0.500
4 Pb 0.000 0.000 0.000
5 N 0.375 0.506 0.750
6 N 0.875 0.744 0.750
7 N 0.494 0.125 0.250
8 N 0.256 0.625 0.250

## Properties
**Total energy**: -6.8362 eV per atom
**Fermi-level density of states**: 2.06 states/eV/f.u.
**Total magnetic moment**: 0.0 μB per formula unit

[14]
FePbN2: relaxed, PBE-GGA.

Lattice parameters (Å, degrees): 6.402 6.402 6.402 31.43 31.43 31.43
Each line ends with the local moment (μB).
Atoms (fractional coordinates):
1 N 0.900 0.900 0.900  0.06
2 N 0.100 0.100 0.100  0.06
3 Fe 0.000 0.000 0.000  3.14
4 Pb 0.500 0.500 0.500  0.05

## Properties
**Total energy**: -6.2656 eV per atom
**Fermi-level density of states**: 4.53 states/eV/f.u.
**Total magnetic moment**: 3.5 μB per formula unit

[15]
Fe2PbN: relaxed, PBE-GGA.

Lattice parameters (Å, degrees): 4.209 4.209 4.209 60.00 60.00 60.00
Atoms (fractional coordinates):
1 Pb 0.500 0.500 0.500
2 N 0.000 0.000 0.000
3 Fe 0.250 0.250 0.250
4 Fe 0.750 0.750 0.750

## Properties
**Energy relative to the lowest polymorph listed for this composition**: 120.3 kJ per mole of atoms
**Fermi-level density of states**: 4.10 states/eV/f.u.
**Total magnetic moment**: 0.0 μB per formula unit

[16]
FePb2N: relaxed, PBE-GGA.

Lattice parameters (Å, degrees): 6.726 6.726 5.986 55.82 55.82 90.00
Each line ends with the local moment (μB).
Atoms (fractional coordinates):
1 Fe 0.750 0.250 0.500  2.85
2 Fe 0.000 0.000 0.000  2.83
3 Pb 0.575 0.125 0.250  -0.03
4 Pb 0.875 0.825 0.750  -0.02
5 Pb 0.375 0.425 0.750  -0.03
6 Pb 0.175 0.625 0.250  -0.03
7 N 0.250 0.750 0.500  0.06
8 N 0.500 0.500 0.000  0.06

## Properties
**Total energy**: -5.1091 eV per atom
**Fermi-level density of states**: 3.98 states/eV/f.u.
**Total magnetic moment**: 2.9 μB per formula unit

[17]
FePbN3: relaxed, PBE-GGA.

Lattice parameters (Å, degrees): 3.801 3.801 3.801 90.00 90.00 90.00
Atoms (fractional coordinates):
1 N 0.000 0.500 0.000
2 N 0.000 0.000 0.500
3 N 0.500 0.000 0.000
4 Fe 0.000 0.000 0.000
5 Pb 0.500 0.500 0.500

## Properties
**Total energy**: -6.3028 eV per atom
**Fermi-level density of states**: 5.73 states/eV/f.u.
**Total magnetic moment**: 0.0 μB per formula unit

[18]
FePtPbN2: relaxed, PBE-GGA.

Lattice parameters (Å, degrees): 3.716 5.351 3.716 90.00 90.00 90.00
Atoms (fractional coordinates):
1 N 0.000 0.000 0.500
2 N 0.500 0.000 0.000
3 Fe 0.000 0.000 0.000
4 Pb 0.500 0.500 0.500
5 Pt 0.000 0.500 0.000

## Properties
**Total energy**: -6.1962 eV per atom
**Fermi-level density of states**: 3.56 states/eV/f.u.
**Total magnetic moment**: 0.0 μB per formula unit

[19]
FeRePb2N: relaxed, PBE-GGA.

Lattice parameters (Å, degrees): 5.540 3.741 5.540 90.00 90.00 90.00
Each line ends with the local moment (μB).
Atoms (fractional coordinates):
1 Pb 0.500 0.000 0.000  -0.04
2 Pb 0.000 0.000 0.500  -0.02
3 Re 0.000 0.000 0.000  0.03
4 Fe 0.500 0.500 0.500  3.19
5 N 0.000 0.500 0.000  -0.02

## Properties
**Total energy**: -6.4296 eV per atom
**Fermi-level density of states**: 4.63 states/eV/f.u.
**Total magnetic moment**: 3.2 μB per formula unit

[20]
FePbSN2: relaxed, PBE-GGA.

Lattice parameters (Å, degrees): 3.799 3.799 4.927 90.00 90.00 90.00
Each line ends with the local moment (μB).
Atoms (fractional coordinates):
1 Pb 0.500 0.500 0.500  0.01
2 Fe 0.000 0.000 0.000  0.32
3 N 0.500 0.000 0.000  -0.03
4 N 0.000 0.500 0.000  -0.03
5 S 0.000 0.000 0.500  -0.01

## Properties
**Energy relative to the lowest polymorph listed for this composition**: 0.0 kJ per mole of atoms
**Fermi-level density of states**: 3.68 states/eV/f.u.
**Total magnetic moment**: 0.3 μB per formula unit

[21]
FePbSN2: relaxed, PBE-GGA.

Lattice parameters (Å, degrees): 4.220 4.220 5.482 90.00 90.00 90.00
Each line ends with the local moment (μB).
Atoms (fractional coordinates):
1 Fe 0.500 0.500 0.500  3.45
2 N 0.500 0.000 0.000  0.81
3 N 0.000 0.500 0.000  0.81
4 S 0.000 0.000 0.500  0.14
5 Pb 0.000 0.000 0.000  -0.02

## Properties
**Energy relative to the lowest polymorph listed for this composition**: 116.4 kJ per mole of atoms
**Fermi-level density of states**: 5.32 states/eV/f.u.
**Total magnetic moment**: 6.1 μB per formula unit

[22]
FeTcPb2N: relaxed, PBE-GGA.

Lattice parameters (Å, degrees): 5.154 3.476 5.154 90.00 90.00 90.00
Each line ends with the local moment (μB).
Atoms (fractional coordinates):
1 Pb 0.500 0.000 0.000  -0.05
2 Pb 0.000 0.000 0.500  -0.02
3 Fe 0.000 0.500 0.000  1.50
4 N 0.000 0.000 0.000  -0.02
5 Tc 0.500 0.500 0.500  1.74

## Properties
**Total energy**: -6.1824 eV per atom
**Fermi-level density of states**: 4.98 states/eV/f.u.
**Total magnetic moment**: 3.2 μB per formula unit

[23]
FeTePbN2: relaxed, PBE-GGA.

Lattice parameters (Å, degrees): 4.101 4.101 5.235 90.00 90.00 90.00
Each line ends with the local moment (μB).
Atoms (fractional coordinates):
1 N 0.000 0.500 0.000  0.62
2 N 0.500 0.000 0.000  0.62
3 Te 0.000 0.000 0.500  0.03
4 Pb 0.500 0.500 0.500  0.02
5 Fe 0.000 0.000 0.000  2.34

## Properties
**Energy relative to the lowest polymorph listed for this composition**: 0.0 kJ per mole of atoms
**Fermi-level density of states**: 4.58 states/eV/f.u.
**Total magnetic moment**: 4.3 μB per formula unit

[24]
FeTePbN2: relaxed, PBE-GGA.

Lattice parameters (Å, degrees): 4.295 4.295 6.375 90.00 90.00 90.00
Each line ends with the local moment (μB).
Atoms (fractional coordinates):
1 Te 0.000 0.000 0.500  0.15
2 N 0.500 0.000 0.000  0.87
3 N 0.000 0.500 0.000  0.87
4 Pb 0.000 0.000 0.000  -0.04
5 Fe 0.500 0.500 0.500  3.35

## Properties
**Energy relative to the lowest polymorph listed for this composition**: 75.5 kJ per mole of atoms
**Fermi-level density of states**: 5.95 states/eV/f.u.
**Total magnetic moment**: 6.3 μB per formula unit